Computed, not measured: an optimized crystal structure of CoPbAuI2 at the GGA-PBE level of DFT.

## Properties
As for the uncorrected formation energy: 0.909 eV/atom. The calculation puts the energy at -2.530 eV/atom.

a b c (Å): 5.5639 5.5639 5.4595
angles (deg): 90.00 90.00 90.00
With the nearest neighbours (Å) after each atom.
Space group P4/mmm (No. 123)
Inequivalent atoms, fractional coordinates:
Co 0.0000 0.0000 0.0000 (multiplicity 1)  8 I 3.90, 4 Pb 3.93
Pb 0.5000 0.5000 0.0000 (multiplicity 1)  2 Au 2.73
Au 0.5000 0.5000 0.5000 (multiplicity 1)  2 Pb 2.73, 4 I 2.78
I 0.0000 0.5000 0.5000 (multiplicity 2)  2 Au 2.78